Here is a relaxed Fe2PtBr crystal from the Alexandria database. Energies are from PBE.

Lattice parameters (Å, degrees): 5.0866 5.0866 5.0866 135.67 135.67 64.50
Each line ends with the local moment (μB).
Element x y z (fractional)
Fe 0.0000 0.0000 0.0000  3.07
Br 0.7500 0.2500 0.5000  0.14
Pt 0.5000 0.5000 0.0000  0.36
Fe 0.2500 0.7500 0.5000  3.06

Summary:
* E above lowest polymorph: 480.0 meV per atom
* total energy: -5.552 eV per atom
* ΔE_f (raw): 607 meV/atom

Here is a relaxed FePtBr2 crystal from the Alexandria database. Energies are from PBE.

Lattice parameters (Å, degrees): 8.2876 8.2876 8.2876 23.11 23.11 23.11
Each line ends with the local moment (μB).
Element x y z (fractional)
Fe 0.2500 0.2500 0.2500  3.06
Pt 0.7500 0.7500 0.7500  0.08
Br 0.9871 0.9871 0.9871  0.11
Br 0.5129 0.5129 0.5129  0.11

Summary:
* E above lowest polymorph: 506.8 meV per atom
* total energy: -3.998 eV per atom
* ΔE_f (raw): 464 meV/atom

no.,total magnetization (μB/atom)
1,1.6834
2,0.8566